DFT (PBE with a Hubbard U) results for crystalline MnTl2InO6 at its relaxed geometry.

Summary:
calculated total energy = -5.547 eV per atom

a = 5.5221 Å, b = 5.6056 Å, c = 5.7361 Å
α = 61.95°, β = 89.88°, γ = 62.11°
Space group P1 (No. 1)
One atom of each set of equivalent atoms:
1 Mn 0.0000 0.0000 0.0000 (multiplicity 1)
2 Tl 0.2141 0.5569 0.6608 (multiplicity 1)
3 Tl 0.7216 0.5541 0.1525 (multiplicity 1)
4 In 0.4938 0.0070 0.4870 (multiplicity 1)
5 O 0.1163 0.0912 0.2628 (multiplicity 1)
6 O 0.2539 0.0960 0.7862 (multiplicity 1)
7 O 0.3777 0.4900 0.2961 (multiplicity 1)
8 O 0.6225 0.5075 0.7815 (multiplicity 1)
9 O 0.7962 0.8431 0.2715 (multiplicity 1)
10 O 0.8819 0.8501 0.7950 (multiplicity 1)